Entry 1:
A relaxed structure of TaRu3I. Source: the Alexandria database, functional PBE.

Cell: 4.7090 4.7090 4.7090 Å, 90.00 90.00 90.00°
With the nearest neighbours (Å) after each atom.
Space group Pm-3m (No. 221)
Inequivalent atoms, fractional coordinates:
Ta  0.0000  0.0000  0.0000 x1  12 Ru 3.33
Ru  0.0000  0.5000  0.5000 x3  2 I 2.35
I  0.5000  0.5000  0.5000 x1  6 Ru 2.35

* calculated volume: 20.9 Å³ per atom
* total magnetization: 0.00 μB per cell
* formation energy (no corrections): 1994 meV/atom
* ΔE to the lowest computed polymorph: 9.586 kcal/mol of atoms


Entry 2:
A relaxed structure of AgPd2Pb2. Source: the Alexandria database, functional PBE.

Cell: 7.5412 7.5412 3.7174 Å, 90.00 90.00 90.00°
With the nearest neighbours (Å) after each atom.
Space group P4/mbm (No. 127)
Inequivalent atoms, fractional coordinates:
Ag  0.0000  0.0000  0.0000 x2  4 Pd 2.93
Pd  0.1358  0.3642  0.0000 x4  6 Pb 2.82-2.94, 1 Pd 2.90, 2 Ag 2.93
Pb  0.1648  0.6648  0.5000 x4  6 Pd 2.82-2.94

* calculated volume: 21.1 Å³ per atom
* total magnetization: 0.00 μB per cell
* ΔH_f (0 K): -134.9 meV/atom
* ΔE to the lowest computed polymorph: 0.000 kcal/mol of atoms


Entry 3:
A relaxed structure of CaGa3Au3. Source: the Alexandria database, functional PBE.

Cell: 6.7113 4.6853 9.2411 Å, 90.00 106.77 90.00°
With the nearest neighbours (Å) after each atom.
Space group P2_1/m (No. 11)
Inequivalent atoms, fractional coordinates:
Ca  0.1453  0.2500  0.2877 x2  8 Au 3.07-3.40, 5 Ga 3.25-3.30
Ga  0.1425  0.2500  0.9109 x2  4 Au 2.62-2.71, 1 Ga 2.83
Ga  0.4714  0.7500  0.8620 x2  2 Au 2.63-2.71, 1 Ga 2.83
Ga  0.4966  0.2500  0.6714 x2  5 Au 2.65-2.67, 2 Ga 2.96
Au  0.0853  0.2500  0.6184 x2  2 Ga 2.62-2.66, 1 Au 2.82
Au  0.2434  0.7500  0.0504 x2  5 Ga 2.63-2.71
Au  0.3365  0.7500  0.5556 x2  4 Ga 2.65-2.71, 1 Au 2.82

* calculated volume: 19.9 Å³ per atom
* total magnetization: 0.00 μB per cell
* ΔH_f (0 K): -449.3 meV/atom
* ΔE to the lowest computed polymorph: 0.000 kcal/mol of atoms


Entry 4:
A relaxed structure of Pm5NdRu2. Source: the Alexandria database, functional PBE.

Cell: 5.0465 8.6410 10.6908 Å, 90.00 90.00 90.00°
With the nearest neighbours (Å) after each atom.
Space group Immm (No. 71)
Inequivalent atoms, fractional coordinates:
Pm  0.0000  0.0000  0.0000 x2  2 Ru 2.93
Pm  0.0000  0.3078  0.3343 x8  1 Ru 2.74
Nd  0.0000  0.5000  0.0000 x2  4 Ru 3.49
Ru  0.0000  0.0000  0.2741 x4  3 Pm 2.74-2.93

* calculated volume: 29.1 Å³ per atom
* total magnetization: 0.01 μB per cell
* ΔH_f (0 K): 23.0 meV/atom


Entry 5:
A relaxed structure of InTePO2. Source: the Alexandria database, functional PBE.

Cell: 4.0681 4.0681 5.8648 Å, 90.00 90.00 90.00°
With the nearest neighbours (Å) after each atom.
Space group P4/mmm (No. 123)
Inequivalent atoms, fractional coordinates:
In  0.0000  0.0000  0.0000 x1  4 O 2.03
Te  0.5000  0.5000  0.5000 x1  4 P 2.88
P  0.0000  0.0000  0.5000 x1  4 Te 2.88, 2 In 2.93
O  0.0000  0.5000  0.0000 x2  2 In 2.03

* calculated volume: 19.4 Å³ per atom
* total magnetization: 1.86 μB per cell
* formation energy (no corrections): 50 meV/atom
* ΔE to the lowest computed polymorph: 9.122 kcal/mol of atoms


Entry 6:
A relaxed structure of EuHoGe2. Source: the Alexandria database, functional PBE.

Cell: 3.8387 3.8387 24.7397 Å, 90.00 90.00 120.00°
With the nearest neighbours (Å) after each atom.
Space group R-3m (No. 166, hexagonal axes)
Inequivalent atoms, fractional coordinates:
Eu  0.0000  0.0000  0.0000 x3  6 Ge 3.08
Ho  0.0000  0.0000  0.5000 x3  6 Ge 2.97
Ge  0.0000  0.0000  0.2467 x6  3 Ho 2.97, 3 Eu 3.08

* calculated volume: 26.3 Å³ per atom
* total magnetization: 20.54 μB per cell
* ΔH_f (0 K): -470.4 meV/atom
* ΔE to the lowest computed polymorph: 3.556 kcal/mol of atoms


Entry 7:
A relaxed structure of Tb3ScHg4. Source: the Alexandria database, functional PBE.

Cell: 3.6634 3.6634 14.9043 Å, 90.00 90.00 90.00°
With the nearest neighbours (Å) after each atom.
Space group P4/mmm (No. 123)
Inequivalent atoms, fractional coordinates:
Tb  0.0000  0.0000  0.0000 x1  8 Hg 3.21
Tb  0.0000  0.0000  0.2576 x2  8 Hg 3.23-3.25, 1 Sc 3.61
Sc  0.0000  0.0000  0.5000 x1  8 Hg 3.07
Hg  0.5000  0.5000  0.1277 x2  8 Tb 3.21-3.23
Hg  0.5000  0.5000  0.3892 x2  4 Sc 3.07, 4 Tb 3.25, 1 Hg 3.30

* calculated volume: 25.0 Å³ per atom
* total magnetization: 0.65 μB per cell
* ΔH_f (0 K): -460.9 meV/atom


Entry 8:
A relaxed structure of Ca2MoAu. Source: the Alexandria database, functional PBE.

Cell: 3.3711 3.3711 8.9539 Å, 90.00 90.00 90.00°
With the nearest neighbours (Å) after each atom.
Space group P4mm (No. 99)
Inequivalent atoms, fractional coordinates:
Ca  0.0000  0.0000  0.0000 x1  4 Au 3.12, 4 Ca 3.37, 1 Mo 3.46
Ca  0.5000  0.5000  0.3767 x1  4 Mo 3.19, 4 Ca 3.37, 1 Au 3.57
Mo  0.0000  0.0000  0.6138 x1  4 Au 2.79
Au  0.5000  0.5000  0.7758 x1  4 Mo 2.79, 4 Ca 3.12

* calculated volume: 25.4 Å³ per atom
* total magnetization: 0.00 μB per cell
* ΔH_f (0 K): 294.4 meV/atom
* ΔE to the lowest computed polymorph: 2.184 kcal/mol of atoms


Entry 9:
A relaxed structure of Y4Er3Al4. Source: the Alexandria database, functional PBE.

Cell: 5.1223 6.6950 17.0251 Å, 90.00 90.00 90.00°
With the nearest neighbours (Å) after each atom.
Space group Immm (No. 71)
Inequivalent atoms, fractional coordinates:
Y  0.0000  0.2375  0.1797 x8  4 Al 3.02-3.08, 1 Y 3.18
Er  0.0000  0.0000  0.4025 x4  1 Er 3.32, 6 Al 3.35-3.58, 4 Y 3.41
Er  0.0000  0.5000  0.5000 x2  6 Al 2.92-3.24
Al  0.0000  0.2953  0.0000 x4  1 Al 2.74
Al  0.0000  0.5000  0.3286 x4  1 Er 2.92, 6 Y 3.02-3.08

* calculated volume: 26.5 Å³ per atom
* total magnetization: 0.00 μB per cell
* ΔH_f (0 K): -180.6 meV/atom


Entry 10:
A relaxed structure of Mn2ReTcH. Source: the Alexandria database, functional PBE.

Cell: 3.7607 3.7607 3.8192 Å, 90.00 90.00 90.00°
With the nearest neighbours (Å) after each atom.
Space group P4/mmm (No. 123)
Inequivalent atoms, fractional coordinates:
Mn  0.0000  0.5000  0.0000 x2  2 H 1.88
Re  0.0000  0.0000  0.5000 x1  4 Tc 2.66, 8 Mn 2.68
Tc  0.5000  0.5000  0.5000 x1  2 H 1.91
H  0.5000  0.5000  0.0000 x1  4 Mn 1.88, 2 Tc 1.91

* calculated volume: 10.8 Å³ per atom
* total magnetization: 2.15 μB per cell
* ΔE to the lowest computed polymorph: 0.000 kcal/mol of atoms


Entry 11:
A relaxed structure of CdIrRh2. Source: the Alexandria database, functional PBE.

Cell: 2.8038 2.8038 27.2665 Å, 90.00 90.00 120.00°
With the nearest neighbours (Å) after each atom.
Space group R-3m (No. 166, hexagonal axes)
Inequivalent atoms, fractional coordinates:
Cd  0.0000  0.0000  0.0000 x3  6 Cd 2.80, 6 Rh 2.89
Ir  0.0000  0.0000  0.5000 x3  6 Rh 2.69, 6 Ir 2.80
Rh  0.0000  0.0000  0.2454 x6  3 Ir 2.69, 6 Rh 2.80, 3 Cd 2.89

* calculated volume: 15.5 Å³ per atom
* total magnetization: 0.00 μB per cell
* ΔH_f (0 K): 47.7 meV/atom


Entry 12:
A relaxed structure of Li3Zn3Ge6O16. Source: the Alexandria database, functional PBE.

Cell: 8.4059 8.4054 8.4078 Å, 90.00 90.06 90.00°
With the nearest neighbours (Å) after each atom.
Space group P2_1 (No. 4)
Inequivalent atoms, fractional coordinates:
Li  0.1230  0.0000  0.1228 x2  6 O 2.13-2.16
Li  0.2486  0.6268  0.9998 x2  4 O 2.01-2.03
Li  0.3734  0.7503  0.6279 x2  6 O 2.13-2.17
Zn  0.0020  0.8742  0.7537 x2  4 O 2.01-2.04
Zn  0.2524  0.1229  0.4965 x2  4 O 2.00-2.02
Zn  0.4979  0.8784  0.2511 x2  4 O 2.00-2.03
Ge  0.1207  0.2539  0.8779 x2  6 O 1.87-2.05
Ge  0.1265  0.5038  0.6314 x2  6 O 1.86-2.05
Ge  0.1267  0.7527  0.3711 x2  6 O 1.90-2.03
Ge  0.3741  0.9954  0.8760 x2  6 O 1.87-2.04
Ge  0.3777  0.5010  0.3744 x2  6 O 1.90-2.02
Ge  0.3795  0.2510  0.1259 x2  6 O 1.90-2.02
O  0.1002  0.7461  0.1456 x2  2 Ge 1.87-1.91, 1 Li 2.02
O  0.1055  0.9778  0.3785 x2  2 Ge 1.90-1.96, 1 Zn 2.00
O  0.1142  0.2624  0.6347 x2  1 Zn 2.02, 3 Ge 2.03-2.05
O  0.1217  0.7282  0.6058 x2  2 Ge 1.90-1.98, 1 Zn 2.02
O  0.1305  0.4801  0.8515 x2  2 Ge 1.86-1.92, 1 Li 2.01
O  0.1376  0.5129  0.3877 x2  3 Ge 2.02-2.05, 1 Zn 2.04
O  0.1452  0.2543  0.1020 x2  2 Ge 1.90-1.98, 1 Zn 2.01
O  0.1493  0.0205  0.8715 x2  2 Ge 1.90-1.98, 1 Zn 2.01
O  0.3520  0.7326  0.3718 x2  2 Ge 1.90-1.96, 1 Zn 2.01
O  0.3573  0.4977  0.6006 x2  2 Ge 1.91-1.96, 1 Zn 2.01
O  0.3629  0.2380  0.8869 x2  3 Ge 2.02-2.04, 1 Zn 2.03
O  0.3721  0.2687  0.3518 x2  2 Ge 1.91-1.96, 1 Zn 2.00
O  0.3784  0.0253  0.1064 x2  2 Ge 1.90-1.95, 1 Zn 2.00
O  0.3883  0.4882  0.1391 x2  3 Ge 1.98-2.00, 1 Li 2.03
O  0.3941  0.7742  0.8795 x2  2 Ge 1.87-1.91, 1 Li 2.01
O  0.3970  0.0043  0.6430 x2  2 Ge 1.90-1.97, 1 Zn 2.00

* calculated volume: 10.6 Å³ per atom
* total magnetization: 0.00 μB per cell
* formation energy (no corrections): -1681 meV/atom